{
  "formula": "VCo4B2",
  "functional": "GGA-PBE",
  "state": "optimized geometry",
  "total_magnetization_mub_per_atom": 0.436,
  "delta_e_f_ev_per_atom": -0.20,
  "cell": [[1.668, -5.987, 0.000], [1.668, 5.987, 0.000], [0.000, 0.000, 3.330]],
  "species": ["V", "Co", "Co", "Co", "Co", "B", "B"],
  "frac_coords": [[0.000, 0.000, 0.000], [0.173, 0.827, 0.500], [0.325, 0.675, 0.000], [0.675, 0.325, 0.000], [0.827, 0.173, 0.500], [0.428, 0.572, 0.500], [0.572, 0.428, 0.500]]
}